No. 1
NdSm2Th3N6 | Alexandria via LeMat-Bulk | PBE | optimized geometry; energy relative to the elements, uncorrected = -1.542 eV/atom
1.0
6.317 0.002 0.001
-3.156 5.473 0.001
-1.054 -1.825 5.916
Sm N Nd Th
2 6 1 3
Cartesian
3.161 1.825 0.001
0.001 3.650 0.001
-1.065 1.845 1.546
2.130 0.000 1.546
2.095 3.628 1.541
3.172 1.804 4.371
-0.023 3.649 4.371
0.012 0.021 4.376
0.000 0.000 0.000
1.054 1.824 2.959
-2.104 3.648 2.959
4.211 0.001 2.959


No. 2
Nd4SmTh3N8 | Alexandria via LeMat-Bulk | PBE | optimized geometry; energy relative to the elements, uncorrected = -1.513 eV/atom
1.0
-4.251 -4.925 3.319
2.666 -5.225 -4.338
4.538 4.152 3.938
Sm N Th Nd
1 8 3 4
Cartesian
1.333 -2.612 -2.169
3.165 -3.015 -0.420
-0.212 -2.983 3.339
-0.352 -2.602 -0.237
-2.448 -5.030 1.399
1.022 -5.481 1.213
1.931 -0.517 1.707
3.306 -3.396 3.156
5.401 -0.968 1.520
1.477 -2.999 1.460
3.602 -0.536 -0.200
-0.793 -5.075 -0.509
2.269 2.076 1.969
0.000 0.000 0.000
0.143 -0.386 3.629
-2.126 -2.463 1.660


No. 3
NdSmTh2N4 | Alexandria via LeMat-Bulk | PBE | optimized geometry; energy relative to the elements, uncorrected = -1.535 eV/atom
1.0
3.655 0.000 0.000
0.000 6.324 0.110
0.000 -2.210 5.889
N Th Sm Nd
4 2 1 1
Cartesian
1.827 1.013 1.566
0.000 4.202 1.635
1.827 3.101 4.434
0.000 -0.088 4.365
1.827 -1.105 2.945
0.000 2.057 3.000
0.000 0.000 0.000
1.827 3.162 0.055


No. 4
NdSm2TiN4 | Alexandria via LeMat-Bulk | PBE | optimized geometry; energy relative to the elements, uncorrected = -1.344 eV/atom
1.0
-1.253 -2.057 2.502
6.169 -0.900 -0.061
1.393 9.000 8.097
N Sm Ti Nd
8 4 2 2
Cartesian
3.184 5.899 8.856
0.696 4.500 4.048
3.124 0.143 1.682
0.000 0.000 0.000
3.460 2.308 3.630
2.849 3.734 6.908
0.520 0.944 3.447
5.789 5.099 7.091
0.874 -1.177 1.881
5.435 7.219 8.657
4.848 3.429 5.248
1.460 2.613 5.290
2.190 1.609 2.420
4.118 4.433 8.118
4.161 -0.324 4.229
2.147 6.366 6.309


No. 5
Nd2SmUN4 | Alexandria via LeMat-Bulk | PBE | optimized geometry; energy relative to the elements, uncorrected = -1.445 eV/atom
1.0
3.571 0.000 0.000
0.000 6.136 0.119
0.000 -2.133 5.802
N U Nd Sm
4 1 2 1
Cartesian
1.785 3.119 4.650
1.785 0.883 1.270
0.000 4.274 1.365
0.000 -0.272 4.556
0.000 0.000 0.000
1.785 -1.067 2.901
0.000 2.001 2.960
1.785 3.068 0.060


No. 6
Nd3Sm2UN6 | Alexandria via LeMat-Bulk | PBE | optimized geometry; energy relative to the elements, uncorrected = -1.474 eV/atom
1.0
-2.871 4.202 -3.519
-1.650 -5.953 -0.335
-2.443 1.439 5.527
N Sm Nd U
6 2 3 1
Cartesian
-1.762 1.466 -0.109
-1.392 -1.611 0.856
-4.046 -1.023 -1.710
-5.572 1.298 0.817
-5.202 -1.779 1.782
-2.917 0.710 3.384
-2.464 0.813 -2.456
-2.057 -2.565 -1.397
-3.075 -3.537 1.896
-3.482 -0.157 0.837
-3.889 3.224 -0.223
0.000 0.000 0.000


No. 7
NdSm2VN4 | Alexandria via LeMat-Bulk | PBE | optimized geometry; energy relative to the elements, uncorrected = -1.233 eV/atom
1.0
-1.393 -2.760 1.519
0.076 -1.234 -6.076
10.961 -4.908 1.134
N Sm Nd V
8 4 2 2
Cartesian
0.000 0.000 0.000
7.699 -5.880 -3.621
5.929 -5.697 -1.008
5.481 -2.454 0.567
3.716 -3.204 -2.414
1.104 -2.035 -2.684
8.540 -6.867 -0.738
1.945 -3.022 0.199
4.156 -4.308 -0.110
-0.392 -2.271 -0.580
10.037 -6.631 -2.842
5.489 -4.594 -3.312
8.116 -4.122 -0.046
1.528 -4.780 -3.376
2.522 -2.146 -1.586
7.122 -6.755 -1.835


No. 8
Nd2SmWN4 | Alexandria via LeMat-Bulk | PBE | optimized geometry; energy relative to the elements, uncorrected = -0.931 eV/atom
1.0
-0.937 3.307 -0.075
-4.516 -2.995 3.207
6.231 2.006 10.649
N W Sm Nd
8 2 2 4
Cartesian
0.000 0.000 0.000
2.641 2.776 10.650
3.115 1.003 5.325
0.444 1.982 3.035
1.185 2.307 8.162
-1.864 -0.458 3.131
-0.408 0.011 5.619
0.333 0.337 10.746
-0.146 0.043 3.746
0.923 2.275 10.036
3.787 1.266 8.550
-3.010 1.052 5.231
2.319 0.941 12.586
1.104 2.229 5.718
-1.542 1.377 1.196
-0.327 0.089 8.064